Below is a crystal of CsMnFeF6 relaxed with PBEsol, with properties calculated at the SCAN level.

a b c (Å): 7.3483 7.4232 7.4232
angles (deg): 60.38 60.33 60.33
Last column: nearest neighbours and their distance in Å.
Sites, in units of the cell vectors:
Cs (0.6307, 0.1193, 0.6193)  6 F 3.16-3.32
Cs (0.3693, 0.8807, 0.3807)  6 F 3.16-3.32
F (0.3147, 0.4353, 0.9353)  2 Mn 1.96
F (0.6815, 0.1722, 0.0772)  1 Fe 1.97, 1 Mn 2.05
F (0.6853, 0.5647, 0.0647)  2 Mn 1.96
F (0.0692, 0.1722, 0.0772)  1 Fe 1.97, 1 Mn 2.05
F (0.9308, 0.8278, 0.9228)  1 Fe 1.97, 1 Mn 2.05
F (0.3185, 0.8278, 0.9228)  1 Fe 1.97, 1 Mn 2.05
F (0.9308, 0.4228, 0.3278)  1 Fe 1.97, 1 Mn 2.05
F (0.3185, 0.4228, 0.3278)  1 Fe 1.97, 1 Mn 2.05
F (0.0692, 0.5772, 0.6722)  1 Fe 1.97, 1 Mn 2.05
F (0.6815, 0.5772, 0.6722)  1 Fe 1.97, 1 Mn 2.05
F (0.9383, 0.8117, 0.3117)  2 Fe 1.98
F (0.0617, 0.1883, 0.6883)  2 Fe 1.98
Fe (0.0000, 0.0000, 0.0000)  6 F 1.97-1.98
Fe (0.0000, 0.5000, 0.5000)  6 F 1.97-1.98
Mn (0.0000, 0.5000, 0.0000)  6 F 1.96-2.05
Mn (0.5000, 0.5000, 0.0000)  6 F 1.96-2.05

Calculated values
M_tot (μB/f.u.): 9.3
Uncorrected formation energy (eV per atom): -2.83
Final energy (eV/atom): -13.43